The following is a PBE calculation of crystalline BaBeW2 at its relaxed geometry, from the Alexandria database.

```
BaBeW2
1.0
-0.309 -5.590 -0.387
2.889 -3.137 3.647
-3.525 4.364 0.141
Ba Be W
1 1 2
Cartesian
0.327 -1.568 2.709
-1.272 -2.794 0.692
0.000 0.000 0.000
1.290 -4.363 1.630
```

Calculated values
Total moment   0.00 μB/cell
ρ   10863 kg/m³
Formation energy   1.68 eV per atom
Electronic total energy   -6.2066 eV/atom

---

The following is a PBE calculation of crystalline Cs3Er3ZrTe8 at its relaxed geometry, from the Alexandria database.

```
Cs3Er3ZrTe8
1.0
8.790 0.000 0.000
-4.395 7.610 -0.035
0.000 -5.036 9.156
Te Er Cs Zr
8 3 3 1
Cartesian
4.395 2.629 2.872
0.000 -0.054 6.250
2.126 -1.299 2.890
2.269 3.873 6.231
6.664 -1.299 2.890
0.000 2.547 2.829
4.395 0.027 6.292
-2.269 3.873 6.231
4.395 -2.518 4.578
2.197 1.287 4.561
-2.197 1.287 4.561
0.000 0.000 0.000
-2.197 3.805 -0.017
2.197 3.805 -0.017
0.000 -2.518 4.578
```

Calculated values
Total moment   0.00 μB/cell
ρ   5470 kg/m³
Electronic total energy   -4.5990 eV/atom
Uncorrected formation energy   -1.27 eV/atom

---

The following is a PBE calculation of crystalline Rb2TaZnF6 at its relaxed geometry, from the Alexandria database.

```
Rb2TaZnF6
1.0
6.829 0.000 0.000
0.000 6.829 0.000
3.414 3.414 4.879
F Rb Ta Zn
6 2 1 1
Cartesian
3.414 3.414 2.855
5.423 5.423 0.000
5.423 1.406 0.000
1.406 5.423 0.000
6.829 6.829 2.024
1.406 1.406 0.000
3.414 6.829 2.440
6.829 3.414 2.440
0.000 0.000 0.000
3.414 3.414 0.000
```

Calculated values
Total moment   1.00 μB/cell
ρ   3877 kg/m³
Electronic total energy   -5.1287 eV/atom
Uncorrected formation energy   -2.50 eV/atom